Crystalline CrCu2Si at its relaxed geometry, computed with PBE.

Values from the calculation:
- energy relative to the elements, uncorrected (eV per atom) = 0.095

The structure in POSCAR format:
```
CrCu2Si
1.0
-0.1955 -0.0691 -2.5725
-2.8308 -2.1091 0.2717
-3.1733 4.2755 0.1264
Cu Cr Si
2 1 1
Cartesian
-2.2849 -0.0492 -1.1196
-0.0277 0.0373 0.0011
-3.8530 2.0635 -1.0572
-1.6206 2.1835 0.0645
```



Crystalline CrCu2Si at its relaxed geometry, computed with PBE.

Values from the calculation:
- energy relative to the elements, uncorrected (eV per atom) = 0.044

The structure in POSCAR format:
```
CrCu2Si
1.0
0.1491 4.6812 2.3619
-1.8138 3.4569 3.5035
1.9931 0.2623 3.7083
Si Cu Cr
1 2 1
Cartesian
0.0821 2.1001 2.3934
-1.6135 8.0410 5.8493
0.1130 4.2972 4.8030
0.2463 6.3003 7.1803
```



Crystalline SmCrCu4 at its relaxed geometry, computed with PBE.

Values from the calculation:
- formation energy (eV/atom) = 0.01

The structure in POSCAR format:
```
SmCrCu4
1.0
5.0957 0.0000 0.0000
2.5478 4.4130 0.0000
2.5478 1.4710 4.1606
Cu Cr Sm
4 1 1
Cartesian
5.0957 2.9420 0.4994
5.0957 1.4515 2.6073
6.3865 3.6872 2.6073
3.8049 3.6872 2.6073
0.0000 0.0000 0.0000
2.5478 1.4710 1.0401
```



Crystalline Cr3CuSn at its relaxed geometry, computed with PBE.

Values from the calculation:
- distance to the lowest polymorph of the same formula (eV/atom) = 0.000
- formation energy (eV/atom) = 1.05

The structure in POSCAR format:
```
Cr3CuSn
1.0
-1.6552 1.7140 -3.9226
-2.9643 -3.4930 -0.2754
-3.0882 2.4342 2.3667
Cr Cu Sn
3 1 1
Cartesian
-1.4822 -1.7465 -0.1377
-0.8276 0.8570 -1.9613
-1.5441 1.2171 1.1834
0.0000 0.0000 0.0000
-3.8539 0.3276 -0.9156
```



Crystalline CrCuSn2 at its relaxed geometry, computed with PBE.

Values from the calculation:
- distance to the lowest polymorph of the same formula (eV/atom) = 0.125
- formation energy (eV/atom) = 0.44

The structure in POSCAR format:
```
CrCuSn2
1.0
7.5125 0.0000 0.0000
0.0000 7.5125 0.0000
3.7563 3.7563 2.9927
Cu Sn Cr
2 4 2
Cartesian
0.0000 0.0000 0.0000
7.5125 3.7563 1.4964
5.6344 5.4251 2.2445
9.3906 9.5999 2.2445
1.6689 5.6344 0.7482
5.8436 1.8781 0.7482
3.7563 7.5125 1.4964
3.7563 3.7563 0.0000
```



Crystalline CrCu2Sn at its relaxed geometry, computed with PBE.

Values from the calculation:
- formation energy (eV/atom) = 0.45

The structure in POSCAR format:
```
CrCu2Sn
1.0
-1.9466 3.2620 -0.3027
-2.7169 -1.8042 -1.9709
-6.7772 -1.1922 6.7501
Cr Sn Cu
2 2 4
Cartesian
-2.3318 0.7289 -1.1368
-5.9129 -1.1338 1.8212
-5.5278 1.3993 2.6553
0.0000 0.0000 0.0000
-9.1221 0.4088 3.1032
-3.6653 -0.9683 0.4133
-6.8731 -0.3750 4.1800
-3.2209 1.4655 1.2566
```



Crystalline CrCuSn2 at its relaxed geometry, computed with PBE.

Values from the calculation:
- distance to the lowest polymorph of the same formula (eV/atom) = 0.000
- formation energy (eV/atom) = 0.32

The structure in POSCAR format:
```
CrCuSn2
1.0
0.0000 3.3932 3.3932
3.3932 0.0000 3.3932
3.3932 3.3932 0.0000
Cr Cu Sn
1 1 2
Cartesian
0.0000 0.0000 0.0000
3.3932 3.3932 3.3932
5.0898 5.0898 5.0898
1.6966 1.6966 1.6966
```



Crystalline CrCuSn at its relaxed geometry, computed with PBE.

Values from the calculation:
- formation energy (eV/atom) = 0.45

The structure in POSCAR format:
```
CrCuSn
1.0
3.8002 0.0000 0.0000
1.9001 3.2911 0.0000
1.9001 1.0970 8.3399
Sn Cr Cu
2 2 2
Cartesian
3.8002 2.1941 2.2097
3.8002 2.1941 6.1302
1.9001 1.0970 0.4600
5.7003 3.2911 7.8799
5.7003 3.2911 4.7635
1.9001 1.0970 3.5764
```



Crystalline CrCu2Sn at its relaxed geometry, computed with PBE.

Values from the calculation:
- formation energy (eV/atom) = 0.16

The structure in POSCAR format:
```
CrCu2Sn
1.0
-3.5794 -0.1107 -1.6274
-0.8999 -3.1075 2.1906
-1.3472 2.3657 2.8024
Cr Cu Sn
1 2 1
Cartesian
-2.9133 -0.4262 1.6828
-0.6736 1.1829 1.4012
-0.4499 -1.5537 1.0953
-1.7897 -0.0553 -0.8137
```



Crystalline Ta2CrCuSn at its relaxed geometry, computed with PBE.

Values from the calculation:
- formation energy (eV/atom) = 1.06

The structure in POSCAR format:
```
Ta2CrCuSn
1.0
-2.7732 -1.5091 3.4258
0.7303 -4.1120 -1.2202
3.6609 -0.2027 2.8742
Sn Ta Cr Cu
1 2 1 1
Cartesian
0.8090 -2.9119 2.5399
-1.3866 -0.7546 1.7129
1.8305 -0.1013 1.4371
0.3652 -2.0560 -0.6101
0.0000 0.0000 0.0000
```



Crystalline ZnCr2CuSn at its relaxed geometry, computed with PBE.

Values from the calculation:
- formation energy (eV/atom) = 0.75

The structure in POSCAR format:
```
ZnCr2CuSn
1.0
-2.0190 4.2445 0.0057
-2.4802 -1.1845 3.5235
3.3482 1.5888 2.8909
Cu Cr Sn Zn
1 2 1 1
Cartesian
0.0000 0.0000 0.0000
-1.0095 2.1222 0.0028
1.6741 0.7944 1.4455
-0.5755 2.3244 3.2100
-1.2401 -0.5922 1.7617
```



Crystalline SrCr4Cu at its relaxed geometry, computed with PBE.

Values from the calculation:
- formation energy (eV/atom) = 0.92

The structure in POSCAR format:
```
SrCr4Cu
1.0
0.0000 3.5760 3.5760
3.5760 0.0000 3.5760
3.5760 3.5760 0.0000
Cr Cu Sr
4 1 1
Cartesian
2.6896 4.4625 4.4625
4.4625 2.6896 4.4625
4.4625 4.4625 2.6896
2.6896 2.6896 2.6896
5.3641 5.3641 5.3641
0.0000 0.0000 0.0000
```



| no. | electronic total energy (eV/atom) |
| --- | --- |
| 1 | -5.715 |
| 2 | -5.766 |
| 3 | -5.111 |
| 4 | -6.342 |
| 5 | -4.990 |
| 6 | -5.008 |
| 7 | -5.115 |
| 8 | -5.455 |
| 9 | -5.291 |
| 10 | -7.221 |
| 11 | -4.979 |
| 12 | -6.462 |